{"formula": "Na2NiCl", "functional": "PBE", "state": "relaxed", "cell": [[-2.1681, -7.1035, 0.0264], [0.0474, 0.0131, 7.4269], [-4.9095, -2.3703, 3.7491]], "species": ["Ni", "Ni", "Na", "Na", "Na", "Na", "Cl", "Cl"], "frac_coords": [[0.0000, 0.0000, 0.0000], [0.7500, 0.2500, 0.5000], [0.5951, 0.1250, 0.2500], [0.1549, 0.6250, 0.2500], [0.3750, 0.4049, 0.7500], [0.8750, 0.8451, 0.7500], [0.5000, 0.5000, 0.0000], [0.2500, 0.7500, 0.5000]], "relative_energy_mev_per_atom": 0.0, "formation_energy_uncorrected_kj_per_mol_atoms": -13.2, "sg": "I-42d, No. 122"}

---

{"formula": "CeRuRhPb", "functional": "PBE", "state": "relaxed", "cell": [[4.8097, 0.0000, 0.0000], [2.4049, 4.1653, 0.0000], [2.4049, 1.3884, 3.9271]], "species": ["Pb", "Ru", "Rh", "Ce"], "frac_coords": [[0.0000, 0.0000, 0.0000], [0.7500, 0.7500, 0.7500], [0.2500, 0.2500, 0.2500], [0.5000, 0.5000, 0.5000]], "delta_e_f_mev_per_atom": -295, "sg": "F-43m, No. 216"}